Density functional theory data (GGA-PBE) for a geometry-optimized Ba2SrDy structure.

a = 14.6530 Å, b = 14.6530 Å, c = 14.6530 Å
α = 15.51°, β = 15.51°, γ = 15.51°
Fractional coordinates of all 4 atoms:
Ba: 0.0823 0.0823 0.0823
Ba: 0.9177 0.9177 0.9177
Sr: 0.5000 0.5000 0.5000
Dy: 0.0000 0.0000 0.0000

Properties
Polymorph energy (0 for the lowest one) ... 183 meV per atom
N(E_F) ... 7.0 states/eV per cell
Space group ... R-3m, No. 166
Crystal system ... trigonal
E_form ... 1.42 eV/f.u.

***

Density functional theory data (GGA-PBE) for a geometry-optimized Pm9SmPb2 structure.

a = 4.9815 Å, b = 4.9815 Å, c = 15.4200 Å
α = 90.00°, β = 90.00°, γ = 90.00°
Fractional coordinates of all 12 atoms:
Pm: 0.0000 0.0000 0.0000
Pm: 0.0000 0.0000 0.3391
Pm: 0.0000 0.0000 0.6609
Pm: 0.0000 0.5000 0.1739
Pm: 0.0000 0.5000 0.5000
Pm: 0.0000 0.5000 0.8261
Pm: 0.5000 0.0000 0.1739
Pm: 0.5000 0.0000 0.5000
Pm: 0.5000 0.0000 0.8261
Sm: 0.5000 0.5000 0.0000
Pb: 0.5000 0.5000 0.3374
Pb: 0.5000 0.5000 0.6626

Properties
N(E_F) ... 12.9 states/eV per cell
Space group ... P4/mmm, No. 123
Crystal system ... tetragonal
E_form ... -2.44 eV/f.u.

***

Density functional theory data (GGA-PBE) for a geometry-optimized PrErCdHg structure.

a = 5.3615 Å, b = 5.3615 Å, c = 5.3615 Å
α = 60.00°, β = 60.00°, γ = 60.00°
Fractional coordinates of all 4 atoms:
Pr: 0.0000 0.0000 0.0000
Er: 0.5000 0.5000 0.5000
Cd: 0.2500 0.2500 0.2500
Hg: 0.7500 0.7500 0.7500

Properties
Polymorph energy (0 for the lowest one) ... 18 meV per atom
N(E_F) ... 4.0 states/eV per cell
Space group ... F-43m, No. 216
Crystal system ... cubic
E_form ... -1.51 eV/f.u.